# K2AcMoF8 | the Alexandria database | GGA+U | optimized geometry
# DFT total energy   -66.574 eV/cell
# N(E_F)   0.00 states/eV/atom
# Calculated density   4.40 g cm⁻³
data_K2AcMoF8
_symmetry_space_group_name_H-M 'P 1'
_symmetry_Int_Tables_number 1
_symmetry_space_group_name_Hall 'P 1'
_cell_length_a 4.309
_cell_length_b 6.205
_cell_length_c 7.818
_cell_angle_alpha 90.00
_cell_angle_beta 90.00
_cell_angle_gamma 94.10
loop_
_atom_site_label
_atom_site_fract_x
_atom_site_fract_y
_atom_site_fract_z
_atom_site_occupancy
F1 0.944 0.205 0.222 1
F2 0.500 0.223 0.500 1
F3 0.591 0.799 0.000 1
F4 0.409 0.201 0.000 1
F5 0.056 0.795 0.778 1
F6 0.500 0.777 0.500 1
F7 0.056 0.795 0.222 1
F8 0.944 0.205 0.778 1
K1 0.500 0.500 0.769 1
K2 0.500 0.500 0.231 1
Ac1 0.000 0.000 0.500 1
Mo1 0.000 0.000 0.000 1